VASP calculation (GGA-PBE) on a relaxed structure of Nd2BeZn.

Lattice parameters (Å, degrees): 3.5891 3.5891 7.2770 90.00 90.00 90.00
Atoms (fractional coordinates):
Nd  0.0000  0.0000  0.2320
Nd  0.0000  0.0000  0.7680
Be  0.5000  0.5000  0.0000
Zn  0.5000  0.5000  0.5000

DFT formation energy	-58	meV/atom
VASP energy	-3.6915	eV per atom

---

VASP calculation (GGA-PBE) on a relaxed structure of Nd2BeZn.

Lattice parameters (Å, degrees): 5.1019 5.1019 5.1019 60.00 60.00 60.00
Atoms (fractional coordinates):
Nd  0.2500  0.2500  0.2500
Nd  0.7500  0.7500  0.7500
Be  0.0000  0.0000  0.0000
Zn  0.5000  0.5000  0.5000

DFT formation energy	-42	meV/atom
VASP energy	-3.6760	eV per atom

---

VASP calculation (GGA-PBE) on a relaxed structure of NdZrBe17.

Lattice parameters (Å, degrees): 5.8026 5.8026 5.8026 82.91 82.91 82.91
Atoms (fractional coordinates):
Nd  0.0000  0.0000  0.0000
Zr  0.3252  0.3252  0.3252
Be  0.0019  0.0019  0.5016
Be  0.0019  0.5016  0.0019
Be  0.1641  0.6561  0.6561
Be  0.3253  0.3253  0.8176
Be  0.3253  0.8176  0.3253
Be  0.3826  0.6589  0.9425
Be  0.3826  0.9425  0.6589
Be  0.5016  0.0019  0.0019
Be  0.5634  0.5634  0.5634
Be  0.6561  0.1641  0.6561
Be  0.6561  0.6561  0.1641
Be  0.6589  0.3826  0.9425
Be  0.6589  0.9425  0.3826
Be  0.7532  0.7532  0.7532
Be  0.8176  0.3253  0.3253
Be  0.9425  0.3826  0.6589
Be  0.9425  0.6589  0.3826

DFT formation energy	-147	meV/atom
VASP energy	-4.1814	eV per atom

---

VASP calculation (GGA-PBE) on a relaxed structure of BeNi3.

Lattice parameters (Å, degrees): 4.6978 7.2799 4.6959 90.00 90.00 90.00
Atoms (fractional coordinates):
Be  0.0118  0.2500  0.0094
Be  0.4882  0.7500  0.5094
Be  0.5118  0.2500  0.4906
Be  0.9882  0.7500  0.9906
Ni  0.0042  0.2500  0.5099
Ni  0.1980  0.5031  0.8021
Ni  0.1980  0.9969  0.8021
Ni  0.3020  0.0031  0.3021
Ni  0.3020  0.4969  0.3021
Ni  0.4958  0.7500  0.0099
Ni  0.5042  0.2500  0.9901
Ni  0.6980  0.5031  0.6979
Ni  0.6980  0.9969  0.6979
Ni  0.8020  0.0031  0.1979
Ni  0.8020  0.4969  0.1979
Ni  0.9958  0.7500  0.4901

DFT formation energy	-172	meV/atom
VASP energy	-5.4393	eV per atom

---

VASP calculation (GGA-PBE) on a relaxed structure of BeNi3.

Lattice parameters (Å, degrees): 2.4997 2.4997 6.3045 90.00 90.00 90.00
Atoms (fractional coordinates):
Be  0.0000  0.0000  0.0000
Ni  0.0000  0.0000  0.5000
Ni  0.5000  0.5000  0.2183
Ni  0.5000  0.5000  0.7817

DFT formation energy	-222	meV/atom
VASP energy	-5.4894	eV per atom

---

VASP calculation (GGA-PBE) on a relaxed structure of BeNi3.

Lattice parameters (Å, degrees): 4.0935 4.0935 2.5004 90.00 90.00 105.82
Atoms (fractional coordinates):
Be  0.0000  0.0000  0.0000
Ni  0.0000  0.5000  0.5000
Ni  0.5000  0.0000  0.5000
Ni  0.5000  0.5000  0.0000

DFT formation energy	-164	meV/atom
VASP energy	-5.4315	eV per atom